1.
# SrAgTe | Alexandria via LeMat-Bulk | PBE | optimized geometry
# Formation energy from raw total energies (eV/atom): -0.544
data_SrAgTe
_space_group_name_H-M_alt 'F -4 3 m'
_space_group_IT_number 216
_space_group_name_Hall 'F -4 2 3'
_cell_length_a 7.508
_cell_length_b 7.508
_cell_length_c 7.508
_cell_angle_alpha 90.00
_cell_angle_beta 90.00
_cell_angle_gamma 90.00
loop_
_atom_site_label
_atom_site_type_symbol
_atom_site_fract_x
_atom_site_fract_y
_atom_site_fract_z
_atom_site_occupancy
Sr1 Sr 0.000 0.000 0.000 1
Ag1 Ag 0.250 0.250 0.750 1
Te1 Te 0.250 0.250 0.250 1

2.
# TcNi2Au | Alexandria via LeMat-Bulk | PBE | optimized geometry
# Calculated formation energy (eV per atom): 0.192
data_TcNi2Au
_space_group_name_H-M_alt 'P m m 2'
_space_group_IT_number 25
_cell_length_a 2.673
_cell_length_b 3.712
_cell_length_c 5.514
_cell_angle_alpha 90.00
_cell_angle_beta 90.00
_cell_angle_gamma 90.00
loop_
_space_group_symop_operation_xyz
'x,y,z'
'-x,-y,z'
'-x,y,z'
'x,-y,z'
loop_
_atom_site_label
_atom_site_type_symbol
_atom_site_fract_x
_atom_site_fract_y
_atom_site_fract_z
_atom_site_occupancy
Tc1 Tc 0.000 0.000 0.000 1
Ni1 Ni 0.000 0.000 0.562 1
Ni2 Ni 0.500 0.500 0.791 1
Au1 Au 0.500 0.500 0.303 1

Computed values of E above lowest polymorph (unit: meV/atom) for the preceding records, in sequence: 378, 149.